(1)
Density functional theory data (PBE) for a relaxed SmInHgO3 crystal.

## Properties
crystal system = orthorhombic
total magnetic moment = 0.0 μB/cell

Cell: 3.5532 14.2412 8.3964 Å, 90.00 90.00 90.00°
Closest atoms and distances in Å follow each position.
Space group Cmcm (No. 63)
Unique sites:
Sm1 0.0000 0.0000 0.0000 x4  6 O 2.29-2.33
In1 0.0000 0.3465 0.2500 x4  4 O 2.19-2.35
Hg1 0.0000 0.3086 0.7500 x4  2 O 2.30
O1 0.0000 0.0637 0.7500 x4  2 In 2.19, 2 Sm 2.29
O2 0.0000 0.3945 0.5177 x8  1 Hg 2.30, 2 Sm 2.33, 1 In 2.35

=====

(2)
Density functional theory data (PBE) for a relaxed InSnHg3O4 crystal.

## Properties
crystal system = cubic

Cell: 5.5486 5.5486 5.5486 Å, 90.00 90.00 90.00°
Closest atoms and distances in Å follow each position.
Space group P-43m (No. 215)
Unique sites:
In1 0.0000 0.0000 0.0000 x1  4 O 2.14
Sn1 0.5000 0.5000 0.5000 x1  4 O 2.67, 6 Hg 2.77
Hg1 0.0000 0.5000 0.5000 x3  4 O 2.50, 2 Sn 2.77
O1 0.2225 0.2225 0.2225 x4  1 In 2.14

=====

| no. | raw total energy (eV per cell) |
| --- | --- |
| 1 | -133.32 |
| 2 | -29.75 |